# 1
DFT (PBE) results for a relaxed Cu3TeC crystal.

Calculated values
space-group type = Pm-3m, No. 221
total moment = 3.0 μB/f.u.
raw formation energy = 1860 meV per atom
total energy = -0.2257 Ry per atom

Cell lengths 4.866, 4.866, 4.866 Å; angles 90.00, 90.00, 90.00 degrees
Positions (direct):
Cu: 0.000 0.000 0.500
Cu: 0.000 0.500 0.000
Cu: 0.500 0.000 0.000
Te: 0.000 0.000 0.000
C: 0.500 0.500 0.500



# 2
DFT (PBE) results for a relaxed KNaZnI4 crystal.

Calculated values
space-group type = P2_1/m, No. 11
total moment = 0.0 μB/f.u.
raw formation energy = -1022 meV per atom
total energy = -0.1790 Ry per atom

Cell lengths 7.695, 8.253, 9.458 Å; angles 90.00, 107.01, 90.00 degrees
Positions (direct):
K: 0.228 0.250 0.055
K: 0.772 0.750 0.945
Na: 0.233 0.250 0.560
Na: 0.767 0.750 0.440
Zn: 0.230 0.750 0.319
Zn: 0.770 0.250 0.681
I: 0.002 0.501 0.269
I: 0.002 0.999 0.269
I: 0.424 0.750 0.132
I: 0.446 0.750 0.590
I: 0.554 0.250 0.410
I: 0.576 0.250 0.868
I: 0.998 0.001 0.731
I: 0.998 0.499 0.731



# 3
DFT (PBE) results for a relaxed LiNp4S7 crystal.

Calculated values
space-group type = Cm, No. 8
total moment = 15.0 μB/f.u.
raw formation energy = -1367 meV per atom
total energy = -0.6062 Ry per atom

Cell lengths 6.571, 6.571, 11.264 Å; angles 104.61, 104.61, 34.07 degrees
Positions (direct):
Li: 0.000 0.000 0.000
Np: 0.111 0.111 0.420
Np: 0.238 0.238 0.862
Np: 0.415 0.415 0.614
Np: 0.801 0.801 0.210
S: 0.077 0.077 0.645
S: 0.148 0.148 0.203
S: 0.385 0.385 0.077
S: 0.452 0.452 0.371
S: 0.635 0.635 0.949
S: 0.769 0.769 0.473
S: 0.856 0.856 0.777



# 4
DFT (PBE) results for a relaxed CeNdHo2S4 crystal.

Calculated values
space-group type = P2/m, No. 10
total moment = 0.8 μB/f.u.
raw formation energy = -2015 meV per atom
total energy = -0.4822 Ry per atom

Cell lengths 6.829, 3.931, 6.954 Å; angles 90.00, 109.01, 90.00 degrees
Positions (direct):
Ce: 0.000 0.000 0.000
Nd: 0.500 0.500 0.000
Ho: 0.000 0.500 0.500
Ho: 0.500 0.000 0.500
S: 0.243 0.000 0.734
S: 0.254 0.500 0.265
S: 0.746 0.500 0.735
S: 0.757 0.000 0.266



# 5
DFT (PBE) results for a relaxed ReNi2H2 crystal.

Calculated values
space-group type = I4/mmm, No. 139
total moment = 0.0 μB/f.u.
total energy = -0.4171 Ry per atom
relative energy among the computed polymorphs = 2.69 kcal/mol of atoms

Cell lengths 7.344, 7.344, 7.344 Å; angles 159.80, 159.80, 28.71 degrees
Positions (direct):
Re: 0.000 0.000 0.000
Ni: 0.172 0.172 0.000
Ni: 0.828 0.828 0.000
H: 0.250 0.750 0.500
H: 0.750 0.250 0.500



# 6
DFT (PBE) results for a relaxed Y2MgZnO crystal.

Calculated values
space-group type = P4/mmm, No. 123
total moment = 0.0 μB/f.u.
raw formation energy = -1199 meV per atom
total energy = -0.3932 Ry per atom

Cell lengths 4.787, 4.787, 4.254 Å; angles 90.00, 90.00, 90.00 degrees
Positions (direct):
Y: 0.000 0.500 0.000
Y: 0.500 0.000 0.000
Mg: 0.000 0.000 0.500
Zn: 0.500 0.500 0.500
O: 0.000 0.000 0.000



# 7
DFT (PBE) results for a relaxed La4Pb2C crystal.

Calculated values
space-group type = I4/mmm, No. 139
formation energy from the elements = -0.46 eV per atom
total moment = 0.0 μB/f.u.
total energy = -0.4155 Ry per atom
relative energy among the computed polymorphs = 0.00 kcal/mol of atoms

Cell lengths 9.275, 9.275, 9.275 Å; angles 147.81, 147.81, 46.17 degrees
Positions (direct):
La: 0.000 0.500 0.500
La: 0.162 0.162 0.000
La: 0.500 0.000 0.500
La: 0.838 0.838 0.000
Pb: 0.360 0.360 0.000
Pb: 0.640 0.640 0.000
C: 0.000 0.000 0.000



# 8
DFT (PBE) results for a relaxed CsPa4AgN8 crystal.

Calculated values
space-group type = R3m, No. 160
total moment = 0.0 μB/f.u.
raw formation energy = -788 meV per atom
total energy = -0.6264 Ry per atom

Cell lengths 6.933, 6.933, 6.933 Å; angles 62.99, 62.99, 62.99 degrees
Positions (direct):
Cs: 0.000 0.000 0.000
Pa: 0.108 0.623 0.623
Pa: 0.236 0.236 0.236
Pa: 0.623 0.108 0.623
Pa: 0.623 0.623 0.108
Ag: 0.620 0.620 0.620
N: 0.354 0.354 0.857
N: 0.354 0.857 0.354
N: 0.370 0.370 0.370
N: 0.452 0.855 0.855
N: 0.842 0.842 0.842
N: 0.855 0.452 0.855
N: 0.855 0.855 0.452
N: 0.857 0.354 0.354